{
  "formula": "Ba2YReBi",
  "functional": "PBE",
  "state": "optimized geometry",
  "mass_density_g_cm3": 6.5,
  "total_energy_ev_per_atom": -4.64,
  "lattice": [[-1.1464, 4.0523, -4.2981], [-5.2080, 1.3729, 2.6834], [2.4816, 3.7665, 2.8892]],
  "species": ["Ba", "Bi", "Ba", "Re", "Y"],
  "fractional_positions": [[0.5000, 0.0000, 0.0000], [0.0000, 0.0000, 0.5000], [0.0000, 0.5000, 0.0000], [0.0000, 0.0000, 0.0000], [0.5000, 0.5000, 0.5000]]
}